Compound: Y2Ho5Sc2
Source: Alexandria via LeMat-Bulk
Functional: PBE-GGA
Structure: optimized geometry

Cell: 3.439 8.913 11.227 Å, 53.95 81.19 78.88°
Positions (direct):
1 Ho 0.342 0.104 0.212
2 Ho 0.168 0.563 0.100
3 Ho 0.658 0.896 0.788
4 Ho 0.832 0.437 0.900
5 Ho 0.000 0.000 0.000
6 Sc 0.488 0.346 0.678
7 Sc 0.512 0.654 0.322
8 Y 0.147 0.234 0.471
9 Y 0.853 0.766 0.529

Computed properties:
Space-group type = C2/m
ΔH_f (0 K) = 0.104 eV/atom
Final energy = -47.548 eV for the cell shown

---

Compound: YHo2Sc
Source: Alexandria via LeMat-Bulk
Functional: PBE-GGA
Structure: optimized geometry

Cell: 6.939 6.933 13.885 Å, 119.85 89.68 60.11°
Positions (direct):
1 Sc 0.249 0.505 0.628
2 Sc 0.749 0.005 0.128
3 Sc 0.251 0.995 0.872
4 Sc 0.751 0.495 0.372
5 Ho 0.247 0.003 0.126
6 Ho 0.753 0.997 0.874
7 Ho 0.248 0.502 0.875
8 Ho 0.752 0.498 0.125
9 Ho 0.747 0.502 0.625
10 Ho 0.748 0.002 0.375
11 Ho 0.253 0.498 0.375
12 Ho 0.252 0.998 0.625
13 Y 0.252 0.495 0.122
14 Y 0.248 0.005 0.378
15 Y 0.748 0.505 0.878
16 Y 0.752 0.995 0.622

Computed properties:
Space-group type = P-1
ΔH_f (0 K) = 0.047 eV/atom
Final energy = -87.060 eV for the cell shown

---

Compound: YHo5Sc3
Source: Alexandria via LeMat-Bulk
Functional: PBE-GGA
Structure: optimized geometry

Cell: 9.145 9.145 11.202 Å, 53.09 53.09 74.57°
Positions (direct):
1 Sc 0.693 0.693 0.820
2 Sc 0.345 0.345 0.634
3 Sc 0.000 0.000 0.500
4 Sc 0.655 0.655 0.366
5 Sc 0.000 0.000 0.000
6 Sc 0.307 0.307 0.180
7 Ho 0.257 0.743 0.000
8 Ho 0.856 0.351 0.258
9 Ho 0.489 0.489 0.233
10 Ho 0.743 0.257 0.000
11 Ho 0.144 0.649 0.742
12 Ho 0.649 0.144 0.742
13 Ho 0.186 0.186 0.031
14 Ho 0.511 0.511 0.767
15 Ho 0.351 0.856 0.258
16 Ho 0.814 0.814 0.969
17 Y 0.850 0.850 0.404
18 Y 0.150 0.150 0.596

Computed properties:
Space-group type = C2/m
ΔH_f (0 K) = 0.481 eV/atom
Final energy = -88.032 eV for the cell shown

---

Compound: Y2Ho8Sc
Source: Alexandria via LeMat-Bulk
Functional: PBE-GGA
Structure: optimized geometry

Cell: 6.568 9.959 9.959 Å, 38.38 60.34 60.34°
Positions (direct):
1 Ho 0.163 0.754 0.754
2 Ho 0.224 0.341 0.824
3 Ho 0.726 0.592 0.592
4 Ho 0.776 0.176 0.659
5 Ho 0.776 0.659 0.176
6 Ho 0.224 0.824 0.341
7 Ho 0.837 0.246 0.246
8 Ho 0.274 0.408 0.408
9 Y 0.431 0.190 0.190
10 Y 0.569 0.810 0.810
11 Sc 0.000 0.000 0.000

Computed properties:
Space-group type = C2/m
ΔH_f (0 K) = 0.174 eV/atom
Final energy = -53.965 eV for the cell shown